No. 1
DFT (PBE) results for a relaxed LiDy4In2 crystal.

Cell: 8.8919 8.8919 8.8919 Å, 34.34 34.34 34.34°
Element x y z (fractional)
Li  0.0000  0.0000  0.0000
Dy  0.1302  0.1302  0.1302
Dy  0.3837  0.3837  0.3837
Dy  0.6163  0.6163  0.6163
Dy  0.8698  0.8698  0.8698
In  0.2563  0.2563  0.2563
In  0.7437  0.7437  0.7437

Summary:
The value obtained for the offset from the most stable computed form is 0 meV/atom. The space-group type is R-3m, No. 166. As for the uncorrected energy: -0.286 Ry per atom. The formation energy from the elements comes out at -0.199 eV/atom.

***

No. 2
DFT (PBE) results for a relaxed LiDy3In2 crystal.

Cell: 5.2828 5.2828 12.9782 Å, 90.00 90.00 120.00°
Element x y z (fractional)
Li  0.3333  0.6667  0.1704
Li  0.6667  0.3333  0.8296
Dy  0.0000  0.0000  0.2500
Dy  0.0000  0.0000  0.7500
Dy  0.3333  0.6667  0.4163
Dy  0.3333  0.6667  0.9185
Dy  0.6667  0.3333  0.0815
Dy  0.6667  0.3333  0.5837
In  0.0000  0.0000  0.0000
In  0.0000  0.0000  0.5000
In  0.3333  0.6667  0.6771
In  0.6667  0.3333  0.3229

Summary:
The space-group type is P-3m1, No. 164. As for the uncorrected energy: -0.285 Ry per atom. The formation energy from the elements comes out at -0.340 eV/atom.

***

No. 3
DFT (PBE) results for a relaxed LiDyIn6 crystal.

Cell: 6.4587 6.4587 4.6997 Å, 90.00 90.00 90.05°
Element x y z (fractional)
Li  0.0000  0.0000  0.0000
Dy  0.5000  0.5000  0.0000
In  0.0000  0.5000  0.0000
In  0.2458  0.2458  0.5000
In  0.2464  0.7536  0.5000
In  0.5000  0.0000  0.0000
In  0.7536  0.2464  0.5000
In  0.7542  0.7542  0.5000

Summary:
The space-group type is Cmmm, No. 65. As for the uncorrected energy: -0.229 Ry per atom. The formation energy from the elements comes out at -0.250 eV/atom.

***

No. 4
DFT (PBE) results for a relaxed LiDy4In2 crystal.

Cell: 7.0409 6.5723 8.9160 Å, 90.00 108.48 90.00°
Element x y z (fractional)
Li  0.0357  0.2500  0.2577
Li  0.9643  0.7500  0.7423
Dy  0.1829  0.7500  0.1389
Dy  0.3263  0.0067  0.7814
Dy  0.3263  0.4933  0.7814
Dy  0.4422  0.2500  0.4670
Dy  0.5578  0.7500  0.5330
Dy  0.6737  0.5067  0.2186
Dy  0.6737  0.9933  0.2186
Dy  0.8171  0.2500  0.8611
In  0.0683  0.7500  0.4617
In  0.2743  0.2500  0.0767
In  0.7257  0.7500  0.9233
In  0.9317  0.2500  0.5383

Summary:
The value obtained for the offset from the most stable computed form is 58 meV/atom. The space-group type is P2_1/m, No. 11. As for the uncorrected energy: -0.281 Ry per atom. The formation energy from the elements comes out at -0.141 eV/atom.

***

No. 5
DFT (PBE) results for a relaxed LiDy2In9 crystal.

Cell: 4.6190 4.6190 13.8024 Å, 90.00 90.00 90.00°
Element x y z (fractional)
Li  0.0000  0.0000  0.0000
Dy  0.0000  0.0000  0.3298
Dy  0.0000  0.0000  0.6702
In  0.0000  0.5000  0.1581
In  0.0000  0.5000  0.5000
In  0.0000  0.5000  0.8419
In  0.5000  0.0000  0.1581
In  0.5000  0.0000  0.5000
In  0.5000  0.0000  0.8419
In  0.5000  0.5000  0.0000
In  0.5000  0.5000  0.3331
In  0.5000  0.5000  0.6669

Summary:
The space-group type is P4/mmm, No. 123. As for the uncorrected energy: -0.242 Ry per atom. The formation energy from the elements comes out at -0.308 eV/atom.

***

No. 6
DFT (PBE) results for a relaxed LiDyIn crystal.

Cell: 13.0213 13.0213 13.0213 Å, 165.15 165.15 21.06°
Element x y z (fractional)
Li  0.2191  0.2191  0.0000
Li  0.7809  0.7809  0.0000
Dy  0.0673  0.0673  0.0000
Dy  0.9327  0.9327  0.0000
In  0.3456  0.3456  0.0000
In  0.6544  0.6544  0.0000

Summary:
The space-group type is I4/mmm, No. 139. As for the uncorrected energy: -0.238 Ry per atom. The formation energy from the elements comes out at -0.156 eV/atom.

***

No. 7
DFT (PBE) results for a relaxed LiDy3In3 crystal.

Cell: 6.0971 6.0971 14.9439 Å, 107.38 107.38 44.82°
Element x y z (fractional)
Li  0.2421  0.2421  0.3984
Li  0.7579  0.7579  0.6016
Dy  0.2630  0.2630  0.7797
Dy  0.4046  0.4046  0.0817
Dy  0.4613  0.4613  0.6151
Dy  0.5387  0.5387  0.3849
Dy  0.5954  0.5954  0.9183
Dy  0.7370  0.7370  0.2203
In  0.0285  0.0285  0.2372
In  0.1217  0.1217  0.0728
In  0.1344  0.1344  0.5536
In  0.8656  0.8656  0.4464
In  0.8783  0.8783  0.9272
In  0.9715  0.9715  0.7628

Summary:
The space-group type is C2/m, No. 12. As for the uncorrected energy: -0.278 Ry per atom. The formation energy from the elements comes out at -0.366 eV/atom.

***

No. 8
DFT (PBE) results for a relaxed Li3DyIn3 crystal.

Cell: 7.0562 7.0562 7.0562 Å, 90.00 90.00 90.00°
Element x y z (fractional)
Li  0.0000  0.2500  0.5000
Li  0.0000  0.7500  0.5000
Li  0.2500  0.5000  0.0000
Li  0.5000  0.0000  0.2500
Li  0.5000  0.0000  0.7500
Li  0.7500  0.5000  0.0000
Dy  0.0000  0.0000  0.0000
Dy  0.5000  0.5000  0.5000
In  0.0000  0.5000  0.2500
In  0.0000  0.5000  0.7500
In  0.2500  0.0000  0.5000
In  0.5000  0.2500  0.0000
In  0.5000  0.7500  0.0000
In  0.7500  0.0000  0.5000

Summary:
The space-group type is Pm-3n, No. 223. As for the uncorrected energy: -0.177 Ry per atom. The formation energy from the elements comes out at 0.238 eV/atom.